Record 1
K4LiTe3O12 after structural relaxation. Source: Alexandria, functional GGA-PBE.

abc: 7.062 7.062 7.062
angles: 109.47 109.47 109.47
Fractional coordinates of all 20 atoms:
Te  0.500  0.500  0.000
Te  0.000  0.500  0.500
Te  0.500  0.000  0.500
O  0.750  0.250  0.500
O  0.272  0.000  0.272
O  0.500  0.250  0.750
O  0.728  0.728  0.000
O  0.000  0.272  0.272
O  0.000  0.728  0.728
O  0.500  0.750  0.250
O  0.250  0.500  0.750
O  0.250  0.750  0.500
O  0.272  0.272  0.000
O  0.728  0.000  0.728
O  0.750  0.500  0.250
K  0.500  0.500  0.500
K  0.500  0.000  0.000
K  0.000  0.500  0.000
K  0.000  0.000  0.500
Li  0.000  0.000  0.000

Computed properties:
- Electronic total energy: -99.994 eV/f.u.
- Volume: 271.1 Å³/f.u.
- Space group: Im-3m, No. 229
- Formation energy from raw total energies: -1.238 eV/atom
- Crystal system: cubic
- Magnetization: 0.000 μB per formula unit

Record 2
K2Li2ThO4 after structural relaxation. Source: Alexandria, functional GGA-PBE.

abc: 3.620 6.850 6.673
angles: 114.99 105.74 90.00
Fractional coordinates of all 9 atoms:
O  0.801  0.871  0.602
O  0.199  0.129  0.398
O  0.491  0.214  0.982
O  0.509  0.786  0.018
K  0.857  0.419  0.714
K  0.143  0.581  0.286
Th  0.000  0.000  0.000
Li  0.319  0.028  0.638
Li  0.681  0.972  0.362

Computed properties:
- Electronic total energy: -54.003 eV/f.u.
- Volume: 143.1 Å³/f.u.
- Space group: C2/m, No. 12
- Formation energy from raw total energies: -2.303 eV/atom
- Crystal system: monoclinic
- Magnetization: 0.000 μB per formula unit

Record 3
KLi2Ti3O8 after structural relaxation. Source: Alexandria, functional GGA-PBE.

abc: 6.012 6.012 7.332
angles: 65.79 65.79 60.00
Fractional coordinates of all 14 atoms:
O  0.234  0.704  0.828
O  0.286  0.286  0.142
O  0.726  0.726  0.822
O  0.234  0.234  0.828
O  0.319  0.765  0.151
O  0.704  0.234  0.828
O  0.765  0.319  0.151
O  0.765  0.765  0.151
Ti  0.505  0.505  0.975
Ti  0.505  0.015  0.975
Ti  0.015  0.505  0.975
Li  0.555  0.555  0.335
Li  0.023  0.023  0.930
K  0.856  0.856  0.431

Computed properties:
- Electronic total energy: -102.835 eV/f.u.
- Volume: 202.2 Å³/f.u.
- Space group: R3m, No. 160
- Formation energy from raw total energies: -2.469 eV/atom
- Crystal system: trigonal
- Magnetization: 1.089 μB per formula unit

- The highest volume belongs to which entry?
  K4LiTe3O12